1.
Compound: Li2MgCu
Source: Alexandria
Functional: meta-GGA SCAN
Structure: single point on PBEsol structure

As for the magnetic moment: 0.00 μB/atom. The total DFT energy (no corrections) comes out at -6.27 eV per atom. As for the crystal system: tetragonal.

a b c (Å): 3.137 3.137 6.572
angles (deg): 90.00 90.00 90.00
Sites, in units of the cell vectors:
1 Li 0.000 0.000 0.000
2 Li 0.500 0.500 0.262
3 Mg 0.000 0.000 0.568
4 Cu 0.500 0.500 0.799

---

2.
Compound: LiMg2Cu2
Source: Alexandria
Functional: meta-GGA SCAN
Structure: single point on PBEsol structure

As for the magnetic moment: 0.00 μB/atom. The total DFT energy (no corrections) comes out at -8.62 eV per atom. As for the crystal system: tetragonal.

a b c (Å): 7.240 7.240 3.097
angles (deg): 90.00 90.00 90.00
Sites, in units of the cell vectors:
1 Li 0.000 0.000 0.000
2 Li 0.500 0.500 0.000
3 Mg 0.171 0.329 0.500
4 Mg 0.329 0.829 0.500
5 Mg 0.671 0.171 0.500
6 Mg 0.829 0.671 0.500
7 Cu 0.122 0.622 0.000
8 Cu 0.378 0.122 0.000
9 Cu 0.622 0.878 0.000
10 Cu 0.878 0.378 0.000

---

3.
Compound: Li2MgCu
Source: Alexandria
Functional: meta-GGA SCAN
Structure: single point on PBEsol structure

As for the magnetic moment: 0.01 μB/atom. The total DFT energy (no corrections) comes out at -6.26 eV per atom. As for the crystal system: tetragonal.

a b c (Å): 4.949 4.949 4.949
angles (deg): 133.82 133.82 67.36
Sites, in units of the cell vectors:
1 Li 0.250 0.750 0.500
2 Li 0.750 0.250 0.500
3 Mg 0.000 0.000 0.000
4 Cu 0.500 0.500 0.000

---

4.
Compound: Li2MgCu
Source: Alexandria
Functional: meta-GGA SCAN
Structure: single point on PBEsol structure

As for the magnetic moment: 0.01 μB/atom. The total DFT energy (no corrections) comes out at -6.23 eV per atom. As for the crystal system: monoclinic.

a b c (Å): 2.841 4.603 4.839
angles (deg): 90.00 96.92 90.00
Sites, in units of the cell vectors:
1 Li 0.224 0.000 0.271
2 Li 0.776 0.000 0.729
3 Mg 0.500 0.500 0.000
4 Cu 0.000 0.500 0.500

---

5.
Compound: Li2MgCu
Source: Alexandria
Functional: meta-GGA SCAN
Structure: single point on PBEsol structure

As for the magnetic moment: 0.00 μB/atom. The total DFT energy (no corrections) comes out at -6.26 eV per atom. As for the crystal system: orthorhombic.

a b c (Å): 2.962 3.392 6.402
angles (deg): 90.00 90.00 90.00
Sites, in units of the cell vectors:
1 Li 0.000 0.000 0.000
2 Li 0.500 0.500 0.258
3 Mg 0.000 0.000 0.563
4 Cu 0.500 0.500 0.796

---

6.
Compound: LiMg2Cu2
Source: Alexandria
Functional: meta-GGA SCAN
Structure: single point on PBEsol structure

As for the magnetic moment: 0.00 μB/atom. The total DFT energy (no corrections) comes out at -8.41 eV per atom. As for the crystal system: tetragonal.

a b c (Å): 6.214 6.214 6.214
angles (deg): 141.45 141.45 55.66
Sites, in units of the cell vectors:
1 Li 0.000 0.000 0.000
2 Mg 0.250 0.750 0.500
3 Mg 0.750 0.250 0.500
4 Cu 0.397 0.397 0.000
5 Cu 0.603 0.603 0.000